(1)
Cu2SiRh2 | PBE | relaxed

Structure (POSCAR):
```
Cu2SiRh2
1.0
-1.5611 1.5611 7.0731
1.5611 -1.5611 7.0731
1.5611 1.5611 -7.0731
Cu Si Rh
2 1 2
direct
0.2500 0.7500 0.5000
0.7500 0.2500 0.5000
0.0000 0.0000 0.0000
0.4050 0.4050 0.0000
0.5950 0.5950 0.0000
```

Output
offset from the most stable computed form: 0.86 eV per formula unit
crystal system: tetragonal
SG: I4/mmm
formation energy (no corrections): -0.0284 eV per atom

---

(2)
La2ZnIrC | PBE | relaxed

Structure (POSCAR):
```
La2ZnIrC
1.0
5.3775 0.0000 0.0000
0.0000 5.3775 0.0000
0.0000 0.0000 3.8852
La Zn Ir C
2 1 1 1
direct
0.0000 0.5000 0.0000
0.5000 0.0000 0.0000
0.0000 0.0000 0.5000
0.5000 0.5000 0.5000
0.5000 0.5000 0.0000
```

Output
crystal system: tetragonal
SG: P4/mmm
formation energy: -417 meV per atom

---

(3)
CdPb2 | PBE | relaxed

Structure (POSCAR):
```
CdPb2
1.0
2.3313 -7.3527 0.0000
2.3313 7.3527 0.0000
0.0000 0.0000 5.1020
Cd Pb
2 4
direct
0.0799 0.9201 0.7500
0.9201 0.0799 0.2500
0.2572 0.7428 0.2500
0.4181 0.5819 0.7500
0.5819 0.4181 0.2500
0.7428 0.2572 0.7500
```

Output
offset from the most stable computed form: 0.01 eV per formula unit
crystal system: orthorhombic
SG: Cmcm
formation energy: 39 meV per atom

---

(4)
ScZnIrRu | PBE | relaxed

Structure (POSCAR):
```
ScZnIrRu
1.0
0.0000 3.1273 3.1273
3.1273 0.0000 3.1273
3.1273 3.1273 0.0000
Sc Zn Ir Ru
1 1 1 1
direct
0.0000 0.0000 0.0000
0.5000 0.5000 0.5000
0.7500 0.7500 0.7500
0.2500 0.2500 0.2500
```

Output
crystal system: cubic
SG: F-43m
formation energy: -385 meV per atom

---

(5)
USi2Ru | PBE | relaxed

Structure (POSCAR):
```
USi2Ru
1.0
1.4308 0.8261 9.4015
-1.4308 0.8261 9.4015
0.0000 -1.6522 9.4015
U Si Ru
1 2 1
direct
0.0000 0.0000 0.0000
0.1005 0.1005 0.1005
0.8995 0.8995 0.8995
0.5000 0.5000 0.5000
```

Output
crystal system: trigonal
SG: R-3m
formation energy (no corrections): 0.0293 eV per atom

---

(6)
LaBeB2 | PBE | relaxed

Structure (POSCAR):
```
LaBeB2
1.0
-2.0642 2.0642 6.6108
2.0642 -2.0642 6.6108
2.0642 2.0642 -6.6108
La Be B
2 2 4
direct
0.3750 0.6250 0.7500
0.6250 0.3750 0.2500
0.1250 0.8750 0.2500
0.8750 0.1250 0.7500
0.0000 0.0000 0.0000
0.0000 0.0000 0.5000
0.0000 0.5000 0.0000
0.5000 0.0000 0.5000
```

Output
crystal system: tetragonal
SG: I4_1/amd
formation energy: 48 meV per atom